Below is PmNd2Sm12 after structural relaxation, with properties calculated at the GGA-PBE level.

Lattice parameters (Å, degrees): 6.806 6.806 25.059 90.00 90.00 63.59
Element x y z (fractional)
Sm  0.752  0.252  0.077
Sm  0.500  0.500  0.200
Sm  0.252  0.752  0.923
Sm  0.500  0.500  0.327
Sm  0.500  0.500  0.673
Sm  0.248  0.748  0.077
Sm  0.000  0.000  0.673
Sm  0.748  0.248  0.923
Sm  0.000  0.000  0.800
Sm  0.000  0.000  0.200
Sm  0.252  0.248  0.129
Sm  0.727  0.227  0.440
Sm  0.248  0.252  0.871
Sm  0.748  0.752  0.129
Sm  0.731  0.769  0.582
Sm  0.273  0.773  0.440
Sm  0.269  0.231  0.582
Sm  0.769  0.731  0.418
Sm  0.773  0.273  0.560
Sm  0.752  0.748  0.871
Sm  0.500  0.500  0.800
Sm  0.227  0.727  0.560
Sm  0.000  0.000  0.327
Sm  0.231  0.269  0.418
Pm  0.000  0.500  0.999
Pm  0.500  0.000  0.001
Nd  0.500  0.000  0.733
Nd  0.000  0.500  0.267
Nd  0.000  0.500  0.726
Nd  0.500  0.000  0.274

Calculated values
As for the space group: Cmme (67). For the energy of formation, the calculation gives 0.153 eV per atom. As for the calculated volume: 34.7 Å³/atom.